Record 1
This record from the Alexandria database describes crystalline VGe2Pb at its relaxed geometry. The functional is PBE-GGA.

Energy = -5.33 eV per atom
Crystal system = trigonal
Energy relative to the elements = 0.186 eV/atom

Unit cell a=3.2004 b=3.2004 c=27.9987 alpha=90.00 beta=90.00 gamma=120.00
Space group R-3m (No. 166, hexagonal axes)
Asymmetric unit:
V  0.0000  0.0000  0.0000 [3 per cell]
Ge  0.0000  0.0000  0.3960 [6 per cell]
Pb  0.0000  0.0000  0.5000 [3 per cell]

---

Record 2
This record from the Alexandria database describes crystalline Mg5Cd2HgPt2 at its relaxed geometry. The functional is PBE-GGA.

Energy = -2.62 eV per atom
Crystal system = tetragonal
Energy relative to the elements = -0.399 eV/atom

Unit cell a=10.1482 b=10.1482 c=3.9696 alpha=90.00 beta=90.00 gamma=90.00
Space group P4/mbm (No. 127)
Asymmetric unit:
Mg  0.0000  0.5000  0.0000 [2 per cell]
Mg  0.0784  0.2057  0.0000 [8 per cell]
Cd  0.1688  0.6688  0.5000 [4 per cell]
Hg  0.0000  0.0000  0.5000 [2 per cell]
Pt  0.1257  0.3743  0.5000 [4 per cell]

---

Record 3
This record from the Alexandria database describes crystalline LaRu2Au at its relaxed geometry. The functional is PBE-GGA.

Energy = -6.60 eV per atom
Distance to the lowest polymorph of the same formula = 0.000 eV per atom
Crystal system = tetragonal
Energy relative to the elements = 0.085 eV/atom

Unit cell a=3.2914 b=3.2914 c=7.2769 alpha=90.00 beta=90.00 gamma=90.00
Space group P4mm (No. 99)
Asymmetric unit:
La  0.0000  0.0000  0.0000 [1 per cell]
Ru  0.0000  0.0000  0.4489 [1 per cell]
Ru  0.5000  0.5000  0.3054 [1 per cell]
Au  0.5000  0.5000  0.6993 [1 per cell]

---

Record 4
This record from the Alexandria database describes crystalline AcThTe2O at its relaxed geometry. The functional is PBE-GGA.

Formation energy from raw total energies = -10.1 eV per formula unit
Energy = -6.57 eV per atom
Crystal system = tetragonal

Unit cell a=4.4157 b=4.4157 c=15.3834 alpha=90.00 beta=90.00 gamma=90.00
Space group P4/nmm (No. 129, origin choice 2)
Asymmetric unit:
Ac  0.2500  0.2500  0.0783 [2 per cell]
Th  0.2500  0.2500  0.6014 [2 per cell]
Te  0.2500  0.2500  0.3847 [2 per cell]
Te  0.2500  0.2500  0.7974 [2 per cell]
O  0.2500  0.7500  0.0000 [2 per cell]

---

Record 5
This record from the Alexandria database describes crystalline TbH3Pt at its relaxed geometry. The functional is PBE-GGA.

Energy = -4.71 eV per atom
Crystal system = orthorhombic

Unit cell a=5.7435 b=4.8610 c=8.1528 alpha=90.00 beta=90.00 gamma=90.00
Space group Pnma (No. 62)
Asymmetric unit:
Tb  0.2486  0.2500  0.0849 [4 per cell]
H  0.0965  0.0416  0.3558 [8 per cell]
H  0.1126  0.7500  0.0411 [4 per cell]
Pt  0.0509  0.7500  0.2438 [4 per cell]

---

Record 6
This record from the Alexandria database describes crystalline K2CaSc at its relaxed geometry. The functional is PBE-GGA.

Energy = -2.11 eV per atom
Distance to the lowest polymorph of the same formula = 0.182 eV per atom
Crystal system = orthorhombic
Energy relative to the elements = 0.519 eV/atom

Unit cell a=3.8687 b=7.0973 c=13.7841 alpha=90.00 beta=90.00 gamma=90.00
Space group Imm2 (No. 44)
Asymmetric unit:
K  0.0000  0.0000  0.0000 [2 per cell]
K  0.0000  0.5000  0.2300 [2 per cell]
Ca  0.0000  0.0000  0.4553 [2 per cell]
Sc  0.0000  0.5000  0.7516 [2 per cell]

---

Record 7
This record from the Alexandria database describes crystalline SrLi2TlZn at its relaxed geometry. The functional is PBE-GGA.

Energy = -1.90 eV per atom
Crystal system = tetragonal
Energy relative to the elements = -0.068 eV/atom

Unit cell a=5.0894 b=5.0894 c=5.2904 alpha=90.00 beta=90.00 gamma=90.00
Space group P4/mmm (No. 123)
Asymmetric unit:
Sr  0.0000  0.0000  0.0000 [1 per cell]
Li  0.0000  0.5000  0.5000 [2 per cell]
Tl  0.5000  0.5000  0.0000 [1 per cell]
Zn  0.5000  0.5000  0.5000 [1 per cell]

---

Record 8
This record from the Alexandria database describes crystalline Pm6Pr2Y3 at its relaxed geometry. The functional is PBE-GGA.

Energy = -5.06 eV per atom
Distance to the lowest polymorph of the same formula = 0.000 eV per atom
Crystal system = monoclinic
Energy relative to the elements = 0.167 eV/atom

Unit cell a=6.2517 b=10.8437 c=11.8643 alpha=90.00 beta=100.25 gamma=90.00
Space group C2/m (No. 12)
Asymmetric unit:
Pm  0.2489  0.0000  0.2484 [4 per cell]
Pm  0.2501  0.1662  0.7518 [8 per cell]
Pr  0.0000  0.3334  0.5000 [4 per cell]
Y  0.0000  0.1654  0.0000 [4 per cell]
Y  0.0000  0.5000  0.0000 [2 per cell]